# Ta2NiIr

A relaxed structure of Ta2NiIr (GGA-PBEsol, Alexandria).

a = 3.1900 Å, b = 3.1900 Å, c = 5.9126 Å
α = 90.00°, β = 90.00°, γ = 90.00°
Fractional coordinates of all 4 atoms:
Ta  0.0000  0.0000  0.0000
Ta  0.5000  0.5000  0.3052
Ni  0.5000  0.5000  0.7972
Ir  0.0000  0.0000  0.5440

Properties
**Electronic total energy**: -0.781 Ry per atom
**M_tot**: 0.00 Bohr magnetons per cell
**Theoretical density**: 16.9 g/cm³
**Crystal system**: tetragonal
**N(E_F)**: 0.60 states/eV/atom